Record 1
The following is a PBE calculation of a relaxed SrGa2Br8 crystal, from Alexandria.

Geometry as POSCAR:
```
SrGa2Br8
1.0
-4.257 -4.546 -2.744
2.359 -6.798 4.585
-5.654 -0.377 6.378
Br Ga Sr
8 2 1
direct
0.823 0.628 0.628 Br
0.177 0.372 0.372 Br
0.757 0.067 0.704 Br
0.243 0.296 0.933 Br
0.313 0.801 0.801 Br
0.243 0.933 0.296 Br
0.757 0.704 0.067 Br
0.687 0.199 0.199 Br
0.666 0.795 0.795 Ga
0.334 0.205 0.205 Ga
0.000 0.000 0.000 Sr
```

Summary:
Energy relative to the elements, uncorrected: -1.1827 eV/atom
Symmetry: C2/m, No. 12
Mass density: 3.052 g cm⁻³
E: -3.10 eV per atom

=====

Record 2
The following is a PBE calculation of a relaxed SrTlGa2Br8 crystal, from Alexandria.

Geometry as POSCAR:
```
SrTlGa2Br8
1.0
-2.577 2.612 6.061
-3.494 -5.130 -3.416
5.274 -7.132 5.316
Tl Ga Br Sr
1 2 8 1
direct
0.000 0.000 0.000 Tl
0.667 0.333 0.238 Ga
0.333 0.667 0.762 Ga
0.665 0.995 0.309 Br
0.005 0.670 0.309 Br
0.333 0.667 0.994 Br
0.667 0.333 0.006 Br
0.335 0.005 0.691 Br
0.995 0.330 0.691 Br
0.670 0.665 0.691 Br
0.330 0.335 0.309 Br
0.000 0.000 0.500 Sr
```

Summary:
Energy relative to the elements, uncorrected: -1.0181 eV/atom
Symmetry: P-3, No. 147
Mass density: 3.955 g cm⁻³
E: -2.98 eV per atom

=====

Record 3
The following is a PBE calculation of a relaxed SrUGa2Br8 crystal, from Alexandria.

Geometry as POSCAR:
```
SrUGa2Br8
1.0
-1.895 -6.732 2.147
2.928 -2.406 -5.941
7.927 -0.875 4.223
Br Sr U Ga
8 1 1 2
direct
0.146 0.776 0.231 Br
0.855 0.225 0.229 Br
0.854 0.224 0.769 Br
0.687 0.775 0.999 Br
0.145 0.775 0.771 Br
0.338 0.269 0.500 Br
0.662 0.731 0.500 Br
0.313 0.225 0.001 Br
0.000 0.000 0.500 Sr
0.000 0.000 0.000 U
0.500 0.500 0.734 Ga
0.500 0.500 0.266 Ga
```

Summary:
Energy relative to the elements, uncorrected: -1.2390 eV/atom
Symmetry: P-1, No. 2
Mass density: 3.945 g cm⁻³
E: -3.94 eV per atom

=====

Record 4
The following is a PBE calculation of a relaxed SrV2GaBr crystal, from Alexandria.

Geometry as POSCAR:
```
SrV2GaBr
1.0
-4.222 0.409 2.279
1.306 -4.492 3.225
2.034 2.920 3.244
Sr V Ga Br
1 2 1 1
direct
0.500 0.500 0.500 Sr
0.500 0.000 0.000 V
0.000 0.000 0.500 V
0.000 0.500 0.000 Ga
0.000 0.000 0.000 Br
```

Summary:
Energy relative to the elements, uncorrected: 0.7026 eV/atom
Symmetry: P4/mmm, No. 123
Mass density: 4.275 g cm⁻³
E: -4.22 eV per atom

=====

Record 5
The following is a PBE calculation of a relaxed SrGaW2Br crystal, from Alexandria.

Geometry as POSCAR:
```
SrGaW2Br
1.0
5.050 0.000 0.000
0.000 5.050 0.000
0.000 0.000 5.890
Ga Br W Sr
1 1 2 1
direct
0.000 0.000 0.500 Ga
0.500 0.500 0.500 Br
0.500 0.000 0.000 W
0.000 0.500 0.000 W
0.000 0.000 0.000 Sr
```

Summary:
Energy relative to the elements, uncorrected: 2.9520 eV/atom
Symmetry: P4/mmm, No. 123
Mass density: 6.688 g cm⁻³
E: -3.51 eV per atom

=====

Record 6
The following is a PBE calculation of a relaxed Sr2ZrGaBr crystal, from Alexandria.

Geometry as POSCAR:
```
Sr2ZrGaBr
1.0
-2.909 3.565 4.559
-3.914 -3.199 0.004
2.888 -3.527 4.601
Ga Br Sr Zr
1 1 2 1
direct
0.000 0.500 0.000 Ga
0.500 0.500 0.500 Br
0.000 0.000 0.500 Sr
0.500 0.000 0.000 Sr
0.000 0.000 0.000 Zr
```

Summary:
Energy relative to the elements, uncorrected: 0.1843 eV/atom
Symmetry: P4/mmm, No. 123
Mass density: 3.258 g cm⁻³
E: -3.14 eV per atom

=====

Record 7
The following is a PBE calculation of a relaxed Ta3Ga2Br9 crystal, from Alexandria.

Geometry as POSCAR:
```
Ta3Ga2Br9
1.0
9.948 -0.436 -2.474
-3.450 8.495 -3.888
-0.354 0.747 9.925
Br Ta Ga
18 6 4
direct
0.161 0.924 0.493 Br
0.816 0.130 0.905 Br
0.500 0.774 0.226 Br
0.184 0.095 0.870 Br
0.466 0.831 0.605 Br
0.850 0.303 0.303 Br
0.534 0.169 0.395 Br
0.230 0.258 0.258 Br
0.534 0.395 0.169 Br
0.161 0.493 0.924 Br
0.466 0.605 0.831 Br
0.839 0.507 0.076 Br
0.839 0.076 0.507 Br
0.816 0.905 0.130 Br
0.150 0.697 0.697 Br
0.500 0.226 0.774 Br
0.770 0.742 0.742 Br
0.184 0.870 0.095 Br
0.359 0.790 0.970 Ta
0.641 0.210 0.030 Ta
0.386 0.108 0.108 Ta
0.614 0.892 0.892 Ta
0.641 0.030 0.210 Ta
0.359 0.970 0.790 Ta
0.846 0.783 0.476 Ga
0.154 0.217 0.524 Ga
0.154 0.524 0.217 Ga
0.846 0.476 0.783 Ga
```

Summary:
Energy relative to the elements, uncorrected: -0.7731 eV/atom
Symmetry: C2/m, No. 12
Mass density: 5.469 g cm⁻³
E: -4.82 eV per atom

=====

Record 8
The following is a PBE calculation of a relaxed TaGaBr2 crystal, from Alexandria.

Geometry as POSCAR:
```
TaGaBr2
1.0
4.410 -1.544 1.174
1.606 0.504 4.514
0.526 -3.873 2.817
Br Ga Ta
2 1 1
direct
0.250 0.250 0.250 Br
0.750 0.750 0.750 Br
0.000 0.000 0.000 Ga
0.500 0.500 0.500 Ta
```

Summary:
Energy relative to the elements, uncorrected: 0.5411 eV/atom
Symmetry: Fm-3m, No. 225
Mass density: 8.619 g cm⁻³
Excess energy over the best structure of this formula in the dataset: 650.8 meV per atom
E: -4.02 eV per atom